[1]
Compound: Cs2LaTe2I2
Source: Alexandria via LeMat-Bulk
Functional: PBE
Structure: relaxed

Values from the calculation:
Density of states at the Fermi level in states/eV/atom: 1.6908
Calculated density in g cm⁻³: 3.993
Formation energy (no corrections) in eV/atom: -1.294

a = 6.1837 Å, b = 6.1837 Å, c = 10.8558 Å
α = 106.55°, β = 106.55°, γ = 90.00°
Last column: nearest neighbours and their distance in Å.
Positions (direct):
I 0.1638 0.1638 0.3276  1 La 3.25
I 0.8362 0.8362 0.6724  1 La 3.25
Cs 0.3588 0.3588 0.7175  1 I 3.87, 4 Te 4.18
Cs 0.6412 0.6412 0.2825  1 I 3.87, 4 Te 4.18
Te 0.0000 0.5000 0.0000  2 La 3.09
Te 0.5000 0.0000 0.0000  2 La 3.09
La 0.0000 0.0000 0.0000  4 Te 3.09, 2 I 3.25

---

[2]
Compound: La5Y12Ho2
Source: Alexandria via LeMat-Bulk
Functional: PBE
Structure: relaxed

Values from the calculation:
Density of states at the Fermi level in states/eV/atom: 1.6083
Calculated density in g cm⁻³: 5.388
Electronic total energy in Ha/atom: -0.2115

a = 7.2038 Å, b = 14.9813 Å, c = 16.3171 Å
α = 154.03°, β = 90.00°, γ = 103.91°
Last column: nearest neighbours and their distance in Å.
Positions (direct):
Y 0.9623 0.9246 0.1173  8 Y 3.43-3.60, 2 Ho 3.46, 1 La 3.50
Y 0.4472 0.4038 0.6134  3 La 3.47-3.66, 7 Y 3.52-3.67, 1 Ho 3.70
Y 0.9783 0.4372 0.0464  5 Y 3.28-3.52, 2 La 3.40-3.61
Y 0.0377 0.0754 0.8827  8 Y 3.43-3.60, 2 Ho 3.46, 1 La 3.50
Y 0.5385 0.0771 0.8817  8 Y 3.48-3.60, 2 Ho 3.50, 2 La 3.51-3.64
Y 0.5411 0.5628 0.9536  5 Y 3.28-3.52, 2 La 3.40-3.61
Y 0.0434 0.5962 0.3866  3 La 3.47-3.66, 7 Y 3.52-3.67, 1 Ho 3.70
Y 0.4589 0.4372 0.0464  5 Y 3.28-3.52, 2 La 3.40-3.61
Y 0.4615 0.9229 0.1183  8 Y 3.48-3.60, 2 Ho 3.50, 2 La 3.51-3.64
Y 0.9566 0.4038 0.6134  3 La 3.47-3.66, 7 Y 3.52-3.67, 1 Ho 3.70
Y 0.5528 0.5962 0.3866  3 La 3.47-3.66, 7 Y 3.52-3.67, 1 Ho 3.70
Y 0.0217 0.5628 0.9536  5 Y 3.28-3.52, 2 La 3.40-3.61
La 0.4956 0.9912 0.5899  1 La 3.17, 4 Y 3.40-3.47
La 0.5044 0.0088 0.4101  1 La 3.17, 4 Y 3.40-3.47
La 0.7500 0.4999 0.5012  6 Y 3.50-3.66, 4 Ho 3.57-3.59, 2 La 3.60
La 0.0000 0.0000 0.5000  4 Y 3.61, 4 La 3.94
La 0.2500 0.5001 0.4988  6 Y 3.50-3.66, 4 Ho 3.57-3.59, 2 La 3.60
Ho 0.7507 0.0000 0.0000  6 Y 3.46-3.70, 4 La 3.57-3.59, 2 Ho 3.59-3.61
Ho 0.2493 0.0000 0.0000  6 Y 3.46-3.70, 4 La 3.57-3.59, 2 Ho 3.59-3.61

---

[3]
Compound: CaSc2B
Source: Alexandria via LeMat-Bulk
Functional: PBE
Structure: relaxed

Values from the calculation:
Density of states at the Fermi level in states/eV/atom: 1.0028
Calculated density in g cm⁻³: 2.188
Electronic total energy in Ha/atom: -0.1935

a = 9.7476 Å, b = 9.7476 Å, c = 9.7476 Å
α = 21.28°, β = 21.28°, γ = 21.28°
Last column: nearest neighbours and their distance in Å.
Positions (direct):
Ca 0.0000 0.0000 0.0000  2 Sc 3.57, 6 Ca 3.60
B 0.5000 0.5000 0.5000  6 Sc 2.39
Sc 0.1251 0.1251 0.1251  3 B 2.39
Sc 0.8749 0.8749 0.8749  3 B 2.39

---

[4]
Compound: Dy6Ge2BiSe3
Source: Alexandria via LeMat-Bulk
Functional: PBE
Structure: relaxed

Values from the calculation:
Density of states at the Fermi level in states/eV/atom: 0.1845
Calculated density in g cm⁻³: 8.330
Formation energy (no corrections) in eV/atom: -1.360

a = 4.1865 Å, b = 8.3963 Å, c = 9.3403 Å
α = 102.32°, β = 102.95°, γ = 90.00°
Last column: nearest neighbours and their distance in Å.
Positions (direct):
Dy 0.6725 0.1019 0.3450  2 Ge 2.89, 3 Se 2.90-3.05, 1 Bi 3.07
Dy 0.3275 0.8981 0.6550  2 Ge 2.89, 3 Se 2.90-3.05, 1 Bi 3.07
Dy 0.6708 0.5769 0.3417  3 Ge 2.88-2.90, 3 Se 3.03
Dy 0.9937 0.7347 0.9874  1 Ge 2.86, 3 Se 2.89-3.03, 2 Bi 3.04
Dy 0.3292 0.4231 0.6583  3 Ge 2.88-2.90, 3 Se 3.03
Dy 0.0063 0.2653 0.0126  1 Ge 2.86, 3 Se 2.89-3.03, 2 Bi 3.04
Ge 0.8326 0.6643 0.6652  6 Dy 2.86-2.90
Ge 0.1674 0.3357 0.3348  6 Dy 2.86-2.90
Bi 0.5000 0.0000 0.0000  6 Dy 3.04-3.07
Se 0.1642 0.8341 0.3284  6 Dy 2.90-3.05
Se 0.5000 0.5000 0.0000  6 Dy 2.89-3.03
Se 0.8358 0.1659 0.6716  6 Dy 2.90-3.05

---

[5]
Compound: Y5NiAg
Source: Alexandria via LeMat-Bulk
Functional: PBE
Structure: relaxed

Values from the calculation:
Density of states at the Fermi level in states/eV/atom: 1.1801
Calculated density in g cm⁻³: 5.178
Electronic total energy in Ha/atom: -0.2170

a = 6.5531 Å, b = 6.5531 Å, c = 11.1637 Å
α = 71.22°, β = 71.22°, γ = 61.89°
Last column: nearest neighbours and their distance in Å.
Positions (direct):
Ni 0.0000 0.0000 0.0000  6 Y 2.58-2.79
Ni 0.0000 0.0000 0.5000  6 Y 2.58-2.79
Y 0.2124 0.5451 0.5353  1 Ni 2.58
Y 0.7876 0.4549 0.4647  1 Ni 2.58
Y 0.0025 0.9975 0.2500  2 Ni 2.79
Y 0.3984 0.0588 0.3603  1 Ni 2.71
Y 0.6016 0.9412 0.6397  1 Ni 2.71
Y 0.4549 0.7876 0.9647  1 Ni 2.58
Y 0.9975 0.0025 0.7500  2 Ni 2.79
Y 0.5451 0.2124 0.0353  1 Ni 2.58
Y 0.9412 0.6016 0.1397  1 Ni 2.71
Y 0.0588 0.3984 0.8603  1 Ni 2.71
Ag 0.4873 0.5127 0.2500  7 Y 3.08-3.39
Ag 0.5127 0.4873 0.7500  7 Y 3.08-3.39

---

[6]
Compound: NdTm2Sb
Source: Alexandria via LeMat-Bulk
Functional: PBE
Structure: relaxed

Values from the calculation:
Distance to the lowest polymorph of the same formula in meV/atom: 0
Density of states at the Fermi level in states/eV/atom: 1.4068
Calculated density in g cm⁻³: 8.339
Formation energy (no corrections) in eV/atom: -0.549

a = 4.1334 Å, b = 6.4879 Å, c = 9.4603 Å
α = 90.00°, β = 90.00°, γ = 108.57°
Last column: nearest neighbours and their distance in Å.
Positions (direct):
Tm 0.3627 0.7256 0.5429  3 Sb 3.10-3.17, 1 Tm 3.47
Tm 0.6373 0.2744 0.4571  3 Sb 3.10-3.17, 1 Tm 3.47
Tm 0.3627 0.7256 0.9571  3 Sb 3.10-3.17, 1 Tm 3.47
Tm 0.6373 0.2744 0.0429  3 Sb 3.10-3.17, 1 Tm 3.47
Nd 0.0549 0.1100 0.7500  3 Sb 3.29-3.60, 4 Tm 3.60
Nd 0.9451 0.8900 0.2500  3 Sb 3.29-3.60, 4 Tm 3.60
Sb 0.2375 0.4747 0.2500  6 Tm 3.10-3.17, 2 Nd 3.29
Sb 0.7625 0.5253 0.7500  6 Tm 3.10-3.17, 2 Nd 3.29